1.
VASP calculation (PBE-GGA) on crystalline BaTlTe2 at its relaxed geometry.

Results
Crystal system = cubic
Total moment = 0.00 μB/f.u.

Geometry as POSCAR:
```
BaTlTe2
1.0
0.000 4.124 4.124
4.124 0.000 4.124
4.124 4.124 0.000
Ba Tl Te
1 1 2
Direct
0.000 0.000 0.000
0.250 0.250 0.250
0.500 0.500 0.500
0.750 0.750 0.750
```


2.
VASP calculation (PBE-GGA) on crystalline Ba2TlTe4 at its relaxed geometry.

Results
Crystal system = monoclinic
Total moment = 0.00 μB/f.u.

Geometry as POSCAR:
```
Ba2TlTe4
1.0
8.627 0.000 0.000
0.000 6.645 0.000
-2.985 0.000 9.678
Ba Tl Te
4 2 8
Direct
0.246 0.250 0.431
0.252 0.250 0.942
0.748 0.750 0.058
0.754 0.750 0.569
0.216 0.750 0.678
0.784 0.250 0.322
0.070 0.750 0.385
0.076 0.750 0.901
0.491 0.516 0.248
0.491 0.984 0.248
0.509 0.016 0.752
0.509 0.484 0.752
0.924 0.250 0.099
0.930 0.250 0.615
```


3.
VASP calculation (PBE-GGA) on crystalline BaTlTe3 at its relaxed geometry.

Results
Energy above the lowest structure with this stoichiometry = 16.04 kcal/mol of atoms
Crystal system = cubic
Total moment = 2.98 μB/f.u.

Geometry as POSCAR:
```
BaTlTe3
1.0
6.566 0.000 0.000
0.000 6.566 0.000
0.000 0.000 6.566
Ba Tl Te
1 1 3
Direct
0.000 0.000 0.000
0.500 0.500 0.500
0.000 0.000 0.500
0.000 0.500 0.000
0.500 0.000 0.000
```


4.
VASP calculation (PBE-GGA) on crystalline Ba2TlTe at its relaxed geometry.

Results
Energy above the lowest structure with this stoichiometry = 4.72 kcal/mol of atoms
Crystal system = tetragonal
Total moment = 0.00 μB/f.u.

Geometry as POSCAR:
```
Ba2TlTe
1.0
-4.659 4.659 4.326
4.659 -4.659 4.326
4.659 4.659 -4.326
Ba Tl Te
4 2 2
Direct
0.110 0.625 0.985
0.375 0.360 0.485
0.640 0.125 0.015
0.875 0.890 0.515
0.250 0.750 0.500
0.500 0.500 0.000
0.000 0.000 0.000
0.750 0.250 0.500
```


5.
VASP calculation (PBE-GGA) on crystalline Ba2TlTe at its relaxed geometry.

Results
Energy above the lowest structure with this stoichiometry = 11.74 kcal/mol of atoms
Crystal system = cubic
Total moment = 0.00 μB/f.u.

Geometry as POSCAR:
```
Ba2TlTe
1.0
0.000 4.230 4.230
4.230 0.000 4.230
4.230 4.230 0.000
Ba Tl Te
2 1 1
Direct
0.000 0.000 0.000
0.250 0.250 0.250
0.750 0.750 0.750
0.500 0.500 0.500
```


6.
VASP calculation (PBE-GGA) on crystalline BaTl4Te at its relaxed geometry.

Results
Crystal system = cubic
Total moment = 0.00 μB/f.u.

Geometry as POSCAR:
```
BaTl4Te
1.0
0.000 4.675 4.675
4.675 0.000 4.675
4.675 4.675 0.000
Ba Tl Te
1 4 1
Direct
0.000 0.000 0.000
0.375 0.375 0.375
0.375 0.375 0.874
0.375 0.874 0.375
0.874 0.375 0.375
0.750 0.750 0.750
```


7.
VASP calculation (PBE-GGA) on crystalline Ba2TlTe at its relaxed geometry.

Results
Energy above the lowest structure with this stoichiometry = 0.24 kcal/mol of atoms
Crystal system = trigonal
Total moment = 0.73 μB/f.u.

Geometry as POSCAR:
```
Ba2TlTe
1.0
2.393 1.381 9.252
-2.393 1.381 9.252
0.000 -2.763 9.252
Ba Tl Te
2 1 1
Direct
0.243 0.243 0.243
0.757 0.757 0.757
0.000 0.000 0.000
0.500 0.500 0.500
```


8.
VASP calculation (PBE-GGA) on crystalline Ba4TlTe5 at its relaxed geometry.

Results
Crystal system = tetragonal
Total moment = 0.00 μB/f.u.

Geometry as POSCAR:
```
Ba4TlTe5
1.0
-2.471 2.471 17.696
2.471 -2.471 17.696
2.471 2.471 -17.696
Ba Tl Te
4 1 5
Direct
0.099 0.099 0.000
0.300 0.300 0.000
0.700 0.700 0.000
0.901 0.901 0.000
0.500 0.500 0.000
0.000 0.000 0.000
0.200 0.200 0.000
0.400 0.400 0.000
0.600 0.600 0.000
0.800 0.800 0.000
```


9.
VASP calculation (PBE-GGA) on crystalline BaTlTe2 at its relaxed geometry.

Results
Crystal system = trigonal
Total moment = 0.00 μB/f.u.

Geometry as POSCAR:
```
BaTlTe2
1.0
2.388 1.378 8.107
-2.388 1.378 8.107
0.000 -2.757 8.107
Ba Tl Te
1 1 2
Direct
0.000 0.000 0.000
0.168 0.168 0.168
0.577 0.577 0.577
0.755 0.755 0.755
```


10.
VASP calculation (PBE-GGA) on crystalline Ba2UTl3Te6 at its relaxed geometry.

Results
Crystal system = monoclinic
Total moment = 1.00 μB/f.u.

Geometry as POSCAR:
```
Ba2UTl3Te6
1.0
4.205 -7.244 0.000
4.205 7.244 0.000
-2.767 0.000 7.969
Ba U Tl Te
2 1 3 6
Direct
0.166 0.834 0.000
0.834 0.166 0.000
0.500 0.500 0.000
0.000 0.000 0.500
0.336 0.664 0.500
0.664 0.336 0.500
0.136 0.425 0.777
0.286 0.286 0.230
0.425 0.136 0.777
0.575 0.864 0.223
0.714 0.714 0.770
0.864 0.575 0.223
```


11.
VASP calculation (PBE-GGA) on crystalline Ba2UTlTe5 at its relaxed geometry.

Results
Crystal system = orthorhombic
Total moment = 2.29 μB/f.u.

Geometry as POSCAR:
```
Ba2UTlTe5
1.0
2.345 -10.048 0.000
2.345 10.048 0.000
0.000 0.000 14.529
Ba U Tl Te
4 2 2 10
Direct
0.111 0.889 0.500
0.136 0.864 0.124
0.864 0.136 0.624
0.889 0.111 0.000
0.207 0.793 0.828
0.793 0.207 0.328
0.472 0.528 0.267
0.528 0.472 0.767
0.061 0.939 0.890
0.285 0.715 0.468
0.312 0.688 0.186
0.358 0.642 0.815
0.490 0.510 0.569
0.510 0.490 0.069
0.642 0.358 0.315
0.688 0.312 0.686
0.715 0.285 0.968
0.939 0.061 0.390
```


12.
VASP calculation (PBE-GGA) on crystalline Ba2YTlTe at its relaxed geometry.

Results
Crystal system = tetragonal
Total moment = 0.00 μB/f.u.

Geometry as POSCAR:
```
Ba2YTlTe
1.0
6.560 0.000 0.000
0.000 6.560 0.000
0.000 0.000 5.731
Ba Y Tl Te
2 1 1 1
Direct
0.000 0.500 0.000
0.500 0.000 0.000
0.000 0.000 0.500
0.500 0.500 0.500
0.000 0.000 0.000
```


| no. | energy (eV/atom) |
| --- | --- |
| 1 | -3.234 |
| 2 | -3.696 |
| 3 | -2.769 |
| 4 | -3.074 |
| 5 | -2.770 |
| 6 | -2.652 |
| 7 | -3.268 |
| 8 | -3.996 |
| 9 | -3.471 |
| 10 | -4.324 |
| 11 | -4.707 |
| 12 | -3.515 |